# CaBiPb2 | Alexandria via LeMat-Bulk | PBE | optimized geometry
# **Energy relative to the elements**: -359 meV per atom
# **Theoretical density**: 8.960 g cm⁻³
# **DOS at the Fermi energy**: 0.525 states/eV per atom
# **DFT total energy**: -3.68 eV/atom
data_CaBiPb2
_symmetry_space_group_name_H-M 'P 1'
_symmetry_Int_Tables_number 1
_symmetry_space_group_name_Hall 'P 1'
_cell_length_a 4.8592
_cell_length_b 4.8592
_cell_length_c 5.2075
_cell_angle_alpha 90.00
_cell_angle_beta 90.00
_cell_angle_gamma 90.00
loop_
_atom_site_label
_atom_site_type_symbol
_atom_site_fract_x
_atom_site_fract_y
_atom_site_fract_z
_atom_site_occupancy
Ca1 Ca 0.0000 0.0000 0.0000 1
Bi1 Bi 0.5000 0.5000 0.0000 1
Pb1 Pb 0.0000 0.5000 0.5000 1
Pb2 Pb 0.5000 0.0000 0.5000 1